The following is a PBE calculation of a relaxed Ac8Ge3AsI4 crystal, from Alexandria.

Cell: 9.222 9.703 9.222 Å, 118.37 120.00 90.00°
Atoms (fractional coordinates):
Ac: 0.234 0.701 0.966
Ac: 0.234 0.701 0.469
Ac: 0.266 0.299 0.532
Ac: 0.732 0.701 0.966
Ac: 0.268 0.299 0.034
Ac: 0.734 0.701 0.468
Ac: 0.766 0.299 0.531
Ac: 0.766 0.299 0.034
Ge: 0.500 0.500 0.000
Ge: 0.500 0.500 0.500
Ge: 0.000 0.500 0.500
As: 0.000 0.500 0.000
I: 0.500 0.000 0.000
I: 0.500 0.000 0.500
I: 0.000 0.000 0.000
I: 0.000 0.000 0.500

Properties
space group: R-3m, No. 166
raw formation energy: -1.0853 eV per atom
total magnetic moment: 0.0 μB per cell
mass density: 7.272 g/cm3


The following is a PBE calculation of a relaxed Ac4GeAs2I crystal, from Alexandria.

Cell: 4.594 7.994 7.997 Å, 71.03 90.00 90.00°
Atoms (fractional coordinates):
Ac: 0.000 0.771 0.725
Ac: 0.000 0.229 0.275
Ac: 0.500 0.758 0.261
Ac: 0.500 0.242 0.739
Ge: 0.000 0.500 0.500
As: 0.000 0.000 0.000
As: 0.500 0.000 0.500
I: 0.500 0.500 0.000

Properties
space group: P2/m, No. 10
raw formation energy: -1.2242 eV per atom
total magnetic moment: 0.0 μB per cell
mass density: 7.517 g/cm3


The following is a PBE calculation of a relaxed Ac6Ge3As2I crystal, from Alexandria.

Cell: 4.566 9.367 10.345 Å, 103.18 102.75 90.00°
Atoms (fractional coordinates):
Ac: 0.324 0.909 0.649
Ac: 0.667 0.580 0.334
Ac: 0.676 0.091 0.351
Ac: 0.001 0.277 0.002
Ac: 0.999 0.723 0.998
Ac: 0.333 0.420 0.666
Ge: 0.500 0.500 0.000
Ge: 0.838 0.165 0.676
Ge: 0.162 0.835 0.324
As: 0.834 0.669 0.668
As: 0.166 0.331 0.332
I: 0.500 0.000 0.000

Properties
space group: C2/m, No. 12
raw formation energy: -1.0228 eV per atom
total magnetic moment: 0.0 μB per cell
mass density: 7.348 g/cm3


The following is a PBE calculation of a relaxed Ac8GeAs3I4 crystal, from Alexandria.

Cell: 9.179 9.612 9.179 Å, 118.52 120.00 90.00°
Atoms (fractional coordinates):
Ac: 0.233 0.701 0.968
Ac: 0.233 0.701 0.467
Ac: 0.267 0.300 0.533
Ac: 0.734 0.701 0.968
Ac: 0.266 0.299 0.032
Ac: 0.733 0.700 0.467
Ac: 0.767 0.299 0.533
Ac: 0.767 0.299 0.032
Ge: 0.000 0.500 0.000
As: 0.500 0.500 0.000
As: 0.500 0.500 0.500
As: 0.000 0.500 0.500
I: 0.500 0.000 0.000
I: 0.500 0.000 0.500
I: 0.000 0.000 0.000
I: 0.000 0.000 0.500

Properties
space group: R-3m, No. 166
raw formation energy: -1.2220 eV per atom
total magnetic moment: 0.0 μB per cell
mass density: 7.438 g/cm3


The following is a PBE calculation of a relaxed Ac6Ge2AsI3 crystal, from Alexandria.

Cell: 7.973 7.973 8.525 Å, 98.97 98.97 119.99°
Atoms (fractional coordinates):
Ac: 0.933 0.598 0.799
Ac: 0.733 0.733 0.201
Ac: 0.067 0.402 0.201
Ac: 0.598 0.933 0.799
Ac: 0.267 0.267 0.799
Ac: 0.402 0.067 0.201
Ge: 0.333 0.667 0.000
Ge: 0.667 0.333 0.000
As: 0.000 0.000 0.000
I: 0.167 0.833 0.500
I: 0.833 0.167 0.500
I: 0.500 0.500 0.500

Properties
space group: C2/m, No. 12
raw formation energy: -1.1107 eV per atom
total magnetic moment: 0.0 μB per cell
mass density: 7.310 g/cm3


The following is a PBE calculation of a relaxed Ac4GeAsI2 crystal, from Alexandria.

Cell: 4.600 7.946 8.515 Å, 108.19 90.00 90.00°
Atoms (fractional coordinates):
Ac: 0.500 0.233 0.201
Ac: 0.500 0.767 0.799
Ac: 0.000 0.266 0.800
Ac: 0.000 0.734 0.200
Ge: 0.000 0.000 0.000
As: 0.500 0.500 0.000
I: 0.500 0.000 0.500
I: 0.000 0.500 0.500

Properties
space group: P2/m, No. 10
raw formation energy: -1.1565 eV per atom
total magnetic moment: 0.0 μB per cell
mass density: 7.353 g/cm3


The following is a PBE calculation of a relaxed Ac2Ge3AsIr4 crystal, from Alexandria.

Cell: 4.389 4.389 10.293 Å, 90.00 90.00 90.00°
Atoms (fractional coordinates):
Ac: 0.500 0.000 0.256
Ac: 0.000 0.500 0.744
Ge: 0.000 0.000 0.500
Ge: 0.500 0.000 0.871
Ge: 0.000 0.500 0.129
As: 0.500 0.500 0.500
Ir: 0.500 0.500 0.000
Ir: 0.000 0.000 0.000
Ir: 0.500 0.000 0.623
Ir: 0.000 0.500 0.377

Properties
space group: P-4m2, No. 115
ΔH_f (0 K): -0.7551 eV per atom
total magnetic moment: 0.0 μB per cell
mass density: 12.695 g/cm3


The following is a PBE calculation of a relaxed Ac5Ge2AsN crystal, from Alexandria.

Cell: 4.560 9.864 13.155 Å, 90.00 90.00 103.37°
Atoms (fractional coordinates):
Ac: 0.359 0.717 0.006
Ac: 0.672 0.343 0.865
Ac: 0.495 0.991 0.774
Ac: 0.293 0.586 0.688
Ac: 0.963 0.927 0.520
Ac: 0.641 0.283 0.506
Ac: 0.328 0.657 0.365
Ac: 0.505 0.009 0.274
Ac: 0.707 0.414 0.188
Ac: 0.037 0.073 0.020
Ge: 0.877 0.753 0.823
Ge: 0.113 0.225 0.686
Ge: 0.123 0.247 0.323
Ge: 0.887 0.775 0.186
As: 0.799 0.598 0.522
As: 0.201 0.402 0.022
N: 0.546 0.092 0.939
N: 0.454 0.908 0.439

Properties
space group: Cmc2_1, No. 36
raw formation energy: -0.8969 eV per atom
total magnetic moment: 0.1 μB per cell
mass density: 7.899 g/cm3


The following is a PBE calculation of a relaxed Ac2Ni4GeAs3 crystal, from Alexandria.

Cell: 4.303 4.303 9.827 Å, 90.00 90.00 90.00°
Atoms (fractional coordinates):
Ac: 0.500 0.000 0.246
Ac: 0.000 0.500 0.754
Ni: 0.500 0.500 0.000
Ni: 0.000 0.000 0.000
Ni: 0.500 0.000 0.619
Ni: 0.000 0.500 0.381
Ge: 0.500 0.500 0.500
As: 0.000 0.000 0.500
As: 0.500 0.000 0.874
As: 0.000 0.500 0.126

Properties
space group: P-4m2, No. 115
ΔH_f (0 K): -0.7698 eV per atom
total magnetic moment: 0.0 μB per cell
mass density: 9.001 g/cm3


The following is a PBE calculation of a relaxed AcGeAsO6 crystal, from Alexandria.

Cell: 5.034 5.034 5.432 Å, 90.00 90.00 60.00°
Atoms (fractional coordinates):
Ac: 0.000 0.000 0.000
Ge: 0.333 0.333 0.500
As: 0.667 0.667 0.500
O: 0.992 0.389 0.302
O: 0.389 0.993 0.698
O: 0.619 0.389 0.698
O: 0.992 0.619 0.698
O: 0.389 0.619 0.302
O: 0.619 0.992 0.302

Properties
space group: P312, No. 149
raw formation energy: -2.1110 eV per atom
total magnetic moment: 0.0 μB per cell
mass density: 6.555 g/cm3


The following is a PBE calculation of a relaxed Ac2GeAs2O2 crystal, from Alexandria.

Cell: 4.375 4.375 11.491 Å, 90.00 90.00 120.00°
Atoms (fractional coordinates):
Ac: 0.667 0.333 0.364
Ac: 0.333 0.667 0.636
Ge: 0.000 0.000 0.000
As: 0.000 0.000 0.809
As: 0.000 0.000 0.191
O: 0.667 0.333 0.579
O: 0.333 0.667 0.421

Properties
space group: P-3m1, No. 164
raw formation energy: -1.5704 eV per atom
total magnetic moment: 0.0 μB per cell
mass density: 6.178 g/cm3


The following is a PBE calculation of a relaxed AcGeAs2O8 crystal, from Alexandria.

Cell: 5.495 5.495 7.108 Å, 90.00 90.00 120.00°
Atoms (fractional coordinates):
Ac: 0.000 0.000 0.500
Ge: 0.000 0.000 0.000
As: 0.333 0.667 0.742
As: 0.667 0.333 0.258
O: 0.158 0.317 0.812
O: 0.158 0.842 0.812
O: 0.683 0.842 0.812
O: 0.317 0.158 0.188
O: 0.667 0.333 0.499
O: 0.333 0.667 0.501
O: 0.842 0.683 0.188
O: 0.842 0.158 0.188

Properties
space group: P-3m1, No. 164
raw formation energy: -1.6724 eV per atom
total magnetic moment: 0.0 μB per cell
mass density: 5.159 g/cm3


Question: Look up the total magnetic moment of the twelfth one.
Answer: 0.0 μB per cell


Question: The highest mass density belongs to which entry?
Answer: Ac2Ge3AsIr4